The following is a DFT calculation (PBE-GGA) of a geometry-optimized BeIr2Os structure.

```
4
Lattice="2.718 0.000 0.000 1.359 2.354 0.000 1.359 0.785 8.262" Properties=species:S:1:pos:R:3 pbc="T T T"
Os 2.718 1.569 4.128
Ir 1.359 0.785 1.896
Be 2.718 1.569 0.013
Ir 1.359 0.785 6.355
```

Results
Electronic total energy ... -8.2612 eV/atom
Calculated formation energy ... -92 meV per atom
Magnetization ... 0.0 μB per cell


The following is a DFT calculation (PBE-GGA) of a geometry-optimized LiZr2SnN4 structure.

```
8
Lattice="4.556 0.248 0.000 -0.248 4.556 0.000 -2.154 -2.402 4.576" Properties=species:S:1:pos:R:3 pbc="T T T"
Sn 4.037 4.503 0.000
N -0.271 -0.302 2.209
N 1.759 4.378 0.000
N 1.883 2.100 2.367
Li 1.884 2.101 0.000
Zr 2.007 -0.178 2.288
N 4.161 2.225 0.000
Zr -0.395 1.976 2.288
```

Results
Electronic total energy ... -7.8743 eV/atom
Uncorrected formation energy ... -80.56 kJ per mole of atoms
Magnetization ... 0.0 μB per cell


The following is a DFT calculation (PBE-GGA) of a geometry-optimized Cs3BiO4 structure.

```
32
Lattice="-2.375 6.101 6.568 2.318 -6.723 7.084 9.002 3.302 0.188" Properties=species:S:1:pos:R:3 pbc="T T T"
Cs 5.186 0.130 2.121
Cs 4.070 -4.615 8.506
Bi 6.120 4.091 2.052
O 3.396 -2.667 6.551
Bi 2.910 -1.262 5.133
O 5.550 5.347 7.288
Cs 4.876 7.295 5.334
O 4.798 2.340 8.430
Cs -0.444 1.008 11.630
O 8.024 3.523 8.497
O 7.785 -0.901 10.011
O 2.019 6.121 5.817
O 10.153 -2.257 8.090
O 6.927 -3.441 8.022
O -1.208 4.937 5.749
Cs 7.221 0.888 5.586
Cs 9.389 1.672 2.209
Cs 8.156 4.854 5.354
Cs 1.725 1.792 8.253
O 2.363 -0.064 10.307
O 0.921 -0.843 5.342
O 6.583 2.745 3.532
Bi 6.035 3.942 8.707
O 5.702 4.746 10.560
Cs 3.760 2.550 11.718
O 1.161 3.581 3.828
Bi 2.826 -1.411 11.788
O 3.244 -2.066 3.280
Cs 0.789 -2.174 8.485
Cs 4.993 -0.632 8.573
Cs 3.953 3.312 5.266
O 4.148 0.341 5.409
```

Results
Electronic total energy ... -4.5336 eV/atom
Offset from the most stable computed form ... 0 meV per atom
Uncorrected formation energy ... -120.54 kJ per mole of atoms
Magnetization ... 0.6 μB per cell